The following is a DFT calculation (PBE) of a geometry-optimized NiAuS2 structure.

```
data_NiAuS2
_chemical_formula_sum 'Ni1 Au1 S2'
_cell_length_a 3.3652
_cell_length_b 3.3652
_cell_length_c 6.8159
_cell_angle_alpha 90.00
_cell_angle_beta 90.00
_cell_angle_gamma 120.00
_space_group_name_H-M_alt 'P 3 m 1'
_space_group_IT_number 156
loop_
_space_group_symop_operation_xyz
'x,y,z'
'-y,x-y,z'
'-x+y,-x,z'
'-y,-x,z'
'-x+y,y,z'
'x,x-y,z'
loop_
_atom_site_label
_atom_site_fract_x
_atom_site_fract_y
_atom_site_fract_z
_atom_site_occupancy
Ni1 0.0000 0.0000 0.0000 1
Au1 0.3333 0.6667 0.4856 1
S1 0.3333 0.6667 0.8330 1
S2 0.6667 0.3333 0.1914 1
```

DOS(E_F): 2.03 states/eV/f.u.
Energy: -0.3250 Ry/atom
Total moment: 0.00 μB/atom

***

The following is a DFT calculation (PBE) of a geometry-optimized Pa7Zn structure.

```
data_Pa7Zn
_chemical_formula_sum 'Pa28 Zn4'
_cell_length_a 9.1544
_cell_length_b 9.1544
_cell_length_c 9.1544
_cell_angle_alpha 90.00
_cell_angle_beta 90.00
_cell_angle_gamma 90.00
_space_group_name_H-M_alt 'F m -3 m'
_space_group_IT_number 225
_space_group_name_Hall '-F 4 2 3'
loop_
_atom_site_label
_atom_site_fract_x
_atom_site_fract_y
_atom_site_fract_z
_atom_site_occupancy
Pa1 0.0000 0.0000 0.0000 1
Pa2 0.0000 0.2500 0.2500 1
Zn1 0.0000 0.0000 0.5000 1
```

DOS(E_F): 16.21 states/eV/f.u.
ΔE_f: -6 meV per atom
Total moment: 0.00 μB/atom

***

The following is a DFT calculation (PBE) of a geometry-optimized LiPr2H structure.

```
data_LiPr2H
_chemical_formula_sum 'Li3 Pr6 H3'
_cell_length_a 3.5563
_cell_length_b 3.5563
_cell_length_c 28.7149
_cell_angle_alpha 90.00
_cell_angle_beta 90.00
_cell_angle_gamma 120.00
_space_group_name_H-M_alt 'R -3 m'
_space_group_IT_number 166
_space_group_name_Hall '-R 3 2"'
loop_
_atom_site_label
_atom_site_fract_x
_atom_site_fract_y
_atom_site_fract_z
_atom_site_occupancy
Li1 0.0000 0.0000 0.0000 1
Pr1 0.0000 0.0000 0.1150 1
H1 0.0000 0.0000 0.5000 1
```

DOS(E_F): 2.70 states/eV/f.u.
Energy relative to the lowest polymorph listed for this composition: 74 meV per atom
Total moment: 0.00 μB/atom

***

The following is a DFT calculation (PBE) of a geometry-optimized Nb2HgBiP structure.

```
data_Nb2HgBiP
_chemical_formula_sum 'Nb2 Hg1 Bi1 P1'
_cell_length_a 5.2639
_cell_length_b 5.2639
_cell_length_c 5.4155
_cell_angle_alpha 90.00
_cell_angle_beta 90.00
_cell_angle_gamma 90.00
_space_group_name_H-M_alt 'P 4/m m m'
_space_group_IT_number 123
_space_group_name_Hall '-P 4 2'
loop_
_atom_site_label
_atom_site_fract_x
_atom_site_fract_y
_atom_site_fract_z
_atom_site_occupancy
Nb1 0.0000 0.5000 0.0000 1
Hg1 0.0000 0.0000 0.0000 1
Bi1 0.0000 0.0000 0.5000 1
P1 0.5000 0.5000 0.5000 1
```

DOS(E_F): 6.08 states/eV/f.u.
ΔE_f: 1914 meV per atom
Energy relative to the lowest polymorph listed for this composition: 1432 meV per atom
Total moment: 0.87 μB/atom

***

The following is a DFT calculation (PBE) of a geometry-optimized IrSe2Br structure.

```
data_IrSe2Br
_chemical_formula_sum 'Ir4 Se8 Br4'
_cell_length_a 6.2022
_cell_length_b 11.8404
_cell_length_c 5.0778
_cell_angle_alpha 90.00
_cell_angle_beta 90.16
_cell_angle_gamma 90.00
_space_group_name_H-M_alt 'C 1 2 1'
_space_group_IT_number 5
loop_
_space_group_symop_operation_xyz
'x,y,z'
'-x,y,-z'
'x+1/2,y+1/2,z'
'-x+1/2,y+1/2,-z'
loop_
_atom_site_label
_atom_site_fract_x
_atom_site_fract_y
_atom_site_fract_z
_atom_site_occupancy
Ir1 0.0000 0.0000 0.0000 1
Ir2 0.0000 0.3097 0.0000 1
Se1 0.1239 0.4945 0.8076 1
Se2 0.1290 0.1522 0.7143 1
Br1 0.1613 0.8303 0.7338 1
```

DOS(E_F): 0.04 states/eV/f.u.
Energy relative to the lowest polymorph listed for this composition: 43 meV per atom
Total moment: 0.00 μB/atom

***

The following is a DFT calculation (PBE) of a geometry-optimized BaRuPt structure.

```
data_BaRuPt
_chemical_formula_sum 'Ba4 Ru4 Pt4'
_cell_length_a 6.8386
_cell_length_b 6.8386
_cell_length_c 6.8386
_cell_angle_alpha 90.00
_cell_angle_beta 90.00
_cell_angle_gamma 90.00
_space_group_name_H-M_alt 'F -4 3 m'
_space_group_IT_number 216
_space_group_name_Hall 'F -4 2 3'
loop_
_atom_site_label
_atom_site_fract_x
_atom_site_fract_y
_atom_site_fract_z
_atom_site_occupancy
Ba1 0.0000 0.0000 0.0000 1
Ru1 0.2500 0.2500 0.7500 1
Pt1 0.2500 0.2500 0.2500 1
```

DOS(E_F): 6.55 states/eV/f.u.
ΔE_f: 1264 meV per atom
Energy relative to the lowest polymorph listed for this composition: 1379 meV per atom
Total moment: 0.56 μB/atom

***

What did the second record say?
The following is a DFT calculation (PBE) of a geometry-optimized Pa7Zn structure.

```
data_Pa7Zn
_chemical_formula_sum 'Pa28 Zn4'
_cell_length_a 9.1544
_cell_length_b 9.1544
_cell_length_c 9.1544
_cell_angle_alpha 90.00
_cell_angle_beta 90.00
_cell_angle_gamma 90.00
_space_group_name_H-M_alt 'F m -3 m'
_space_group_IT_number 225
_space_group_name_Hall '-F 4 2 3'
loop_
_atom_site_label
_atom_site_fract_x
_atom_site_fract_y
_atom_site_fract_z
_atom_site_occupancy
Pa1 0.0000 0.0000 0.0000 1
Pa2 0.0000 0.2500 0.2500 1
Zn1 0.0000 0.0000 0.5000 1
```

DOS(E_F): 16.21 states/eV/f.u.
ΔE_f: -6 meV per atom
Total moment: 0.00 μB/atom